Entry 1:
A PBEsol-optimized structure of SrOsPt2, computed with meta-GGA SCAN.

a = 4.5398 Å, b = 4.5398 Å, c = 6.3943 Å
α = 96.85°, β = 96.85°, γ = 35.65°
With the nearest neighbours (Å) after each atom.
Sites, in units of the cell vectors:
1 Sr 0.0000 0.0000 0.0000  2 Sr 2.78, 2 Pt 3.10
2 Os 0.5000 0.5000 0.5000  6 Pt 2.63-2.66, 2 Os 2.78
3 Pt 0.2433 0.2433 0.6816  3 Os 2.63-2.66, 4 Pt 2.72-2.78
4 Pt 0.7567 0.7567 0.3184  3 Os 2.63-2.66, 4 Pt 2.72-2.78

**DOS(E_F)**: 3.0 states/eV/f.u.
**E**: -58.491 eV/atom
**Relative energy among the computed polymorphs**: 91.8 meV/atom
**Volume**: 19.1 Å³/atom
**SG**: C2/m, No. 12


Entry 2:
A PBEsol-optimized structure of ZrCdAu, computed with meta-GGA SCAN.

a = 4.7251 Å, b = 4.7251 Å, c = 2.9281 Å
α = 90.00°, β = 90.00°, γ = 120.00°
With the nearest neighbours (Å) after each atom.
Sites, in units of the cell vectors:
1 Zr 0.0000 0.0000 0.0000  2 Zr 2.93, 6 Cd 3.10, 6 Au 3.10
2 Cd 0.6667 0.3333 0.5000  3 Au 2.73, 2 Cd 2.93
3 Au 0.3333 0.6667 0.5000  3 Cd 2.73, 2 Au 2.93

**DOS(E_F)**: 1.5 states/eV/f.u.
**E**: -43.891 eV/atom
**Volume**: 18.9 Å³/atom
**SG**: P-6m2, No. 187


Entry 3:
A PBEsol-optimized structure of KTl2FeF, computed with meta-GGA SCAN.

a = 5.4818 Å, b = 5.4818 Å, c = 3.9707 Å
α = 90.00°, β = 90.00°, γ = 90.00°
With the nearest neighbours (Å) after each atom.
Sites, in units of the cell vectors:
1 K 0.0000 0.0000 0.0000  8 Tl 3.38
2 Tl 0.0000 0.5000 0.5000  2 Fe 2.74
3 Tl 0.5000 0.0000 0.5000  2 Fe 2.74
4 Fe 0.5000 0.5000 0.5000  2 F 1.99
5 F 0.5000 0.5000 0.0000  2 Fe 1.99

**DOS(E_F)**: 3.5 states/eV/f.u.
**E**: -35.366 eV/atom
**Volume**: 23.9 Å³/atom
**E_form (uncorrected)**: -0.423 eV per atom
**SG**: P4/mmm, No. 123


Entry 4:
A PBEsol-optimized structure of Li2CuSiO4, computed with meta-GGA SCAN.

a = 6.2313 Å, b = 5.2636 Å, c = 4.8564 Å
α = 90.00°, β = 90.00°, γ = 90.00°
With the nearest neighbours (Å) after each atom.
Sites, in units of the cell vectors:
1 Li 0.2491 0.1688 0.0000  4 O 1.92-1.97
2 Li 0.2509 0.8312 0.5000  4 O 1.92-1.97
3 Li 0.7491 0.8312 0.5000  4 O 1.92-1.97
4 Li 0.7509 0.1688 0.0000  4 O 1.92-1.97
5 Cu 0.0000 0.6883 0.0107  4 O 1.93-2.03
6 Cu 0.5000 0.3117 0.5107  4 O 1.93-2.03
7 Si 0.0000 0.3412 0.4904  4 O 1.64-1.65
8 Si 0.5000 0.6588 0.9904  4 O 1.64-1.65
9 O 0.0000 0.3347 0.1523  1 Si 1.64
10 O 0.0000 0.6383 0.5967  1 Si 1.65
11 O 0.2155 0.1895 0.5983  1 Si 1.65
12 O 0.2845 0.8105 0.0983  1 Si 1.65
13 O 0.5000 0.3617 0.0967  1 Si 1.65
14 O 0.5000 0.6653 0.6523  1 Si 1.64
15 O 0.7155 0.8105 0.0983  1 Si 1.65
16 O 0.7845 0.1895 0.5983  1 Si 1.65

**DOS(E_F)**: 0.0 states/eV/f.u.
**E**: -9.096 eV/atom
**Relative energy among the computed polymorphs**: 9.3 meV/atom
**Volume**: 10.0 Å³/atom
**E_form (uncorrected)**: -2.231 eV per atom
**SG**: Pmn2_1, No. 31


Entry 5:
A PBEsol-optimized structure of GaRe2Se, computed with meta-GGA SCAN.

a = 4.3229 Å, b = 4.3229 Å, c = 4.3229 Å
α = 60.00°, β = 60.00°, γ = 60.00°
With the nearest neighbours (Å) after each atom.
Sites, in units of the cell vectors:
1 Ga 0.0000 0.0000 0.0000  8 Re 2.65
2 Re 0.2500 0.2500 0.2500  4 Se 2.65, 4 Ga 2.65
3 Re 0.7500 0.7500 0.7500  4 Ga 2.65, 4 Se 2.65
4 Se 0.5000 0.5000 0.5000  8 Re 2.65

**DOS(E_F)**: 2.7 states/eV/f.u.
**E**: -44.076 eV/atom
**Volume**: 14.3 Å³/atom
**E_form (uncorrected)**: 0.579 eV per atom
**SG**: Fm-3m, No. 225


Entry 6:
A PBEsol-optimized structure of PtAuBr2, computed with meta-GGA SCAN.

a = 7.3838 Å, b = 7.3838 Å, c = 7.3838 Å
α = 153.18°, β = 149.81°, γ = 40.81°
With the nearest neighbours (Å) after each atom.
Sites, in units of the cell vectors:
1 Pt 0.0000 0.0000 0.0000  4 Br 2.62, 2 Au 2.75
2 Au 0.1552 0.6552 0.5000  2 Pt 2.75, 4 Br 2.75
3 Br 0.4638 0.4638 0.0000  4 Pt 2.62
4 Br 0.7258 0.2258 0.5000  4 Au 2.75

**DOS(E_F)**: 2.5 states/eV/f.u.
**E**: -44.191 eV/atom
**Relative energy among the computed polymorphs**: 413.8 meV/atom
**Volume**: 22.8 Å³/atom
**E_form (uncorrected)**: 0.376 eV per atom
**SG**: Imm2, No. 44


Entry 7:
A PBEsol-optimized structure of Ag2SbSe, computed with meta-GGA SCAN.

a = 4.8704 Å, b = 4.8704 Å, c = 4.8704 Å
α = 60.00°, β = 60.00°, γ = 60.00°
With the nearest neighbours (Å) after each atom.
Sites, in units of the cell vectors:
1 Ag 0.0000 0.0000 0.0000  4 Sb 2.98, 4 Ag 2.98
2 Ag 0.2500 0.2500 0.2500  4 Se 2.98, 4 Ag 2.98
3 Sb 0.7500 0.7500 0.7500  4 Se 2.98, 4 Ag 2.98
4 Se 0.5000 0.5000 0.5000  4 Sb 2.98, 4 Ag 2.98

**DOS(E_F)**: 3.6 states/eV/f.u.
**E**: -29.650 eV/atom
**Volume**: 20.4 Å³/atom
**E_form (uncorrected)**: 0.368 eV per atom
**SG**: F-43m, No. 216


Entry 8:
A PBEsol-optimized structure of Li3TlN, computed with meta-GGA SCAN.

a = 4.0576 Å, b = 4.0576 Å, c = 4.0576 Å
α = 90.00°, β = 90.00°, γ = 90.00°
With the nearest neighbours (Å) after each atom.
Sites, in units of the cell vectors:
1 Li 0.0000 0.0000 0.5000  2 N 2.03
2 Li 0.0000 0.5000 0.0000  2 N 2.03
3 Li 0.5000 0.0000 0.0000  2 N 2.03
4 Tl 0.5000 0.5000 0.5000  12 Li 2.87
5 N 0.0000 0.0000 0.0000  6 Li 2.03

**DOS(E_F)**: 2.0 states/eV/f.u.
**E**: -18.004 eV/atom
**Volume**: 13.4 Å³/atom
**E_form (uncorrected)**: -0.241 eV per atom
**SG**: Pm-3m, No. 221


Entry 9:
A PBEsol-optimized structure of YNi2Rh, computed with meta-GGA SCAN.

a = 4.7017 Å, b = 4.7017 Å, c = 4.7017 Å
α = 130.83°, β = 130.83°, γ = 72.08°
With the nearest neighbours (Å) after each atom.
Sites, in units of the cell vectors:
1 Y 0.0000 0.0000 0.0000  8 Ni 2.73-2.77, 4 Rh 2.73
2 Ni 0.5000 0.5000 0.0000  4 Ni 2.73, 4 Rh 2.73, 4 Y 2.77
3 Ni 0.7500 0.2500 0.5000  4 Ni 2.73, 4 Y 2.73, 4 Rh 2.77
4 Rh 0.2500 0.7500 0.5000  8 Ni 2.73-2.77, 4 Y 2.73

**DOS(E_F)**: 3.6 states/eV/f.u.
**E**: -23.677 eV/atom
**Volume**: 14.5 Å³/atom
**SG**: I-4m2, No. 119


Entry 10:
A PBEsol-optimized structure of ZrInAg2, computed with meta-GGA SCAN.

a = 2.9263 Å, b = 4.4714 Å, c = 6.0140 Å
α = 90.00°, β = 103.88°, γ = 90.00°
With the nearest neighbours (Å) after each atom.
Sites, in units of the cell vectors:
1 Zr 0.0000 0.0000 0.0000  5 Ag 2.86-3.13, 2 Zr 2.93, 4 In 3.02
2 In 0.3814 0.5000 0.7590  3 Ag 2.73-3.02, 2 In 2.93, 4 Zr 3.02
3 Ag 0.2477 0.0000 0.4894  2 In 2.73, 1 Zr 2.86, 6 Ag 2.93-2.95
4 Ag 0.6404 0.5000 0.2766  6 Ag 2.93-2.95, 3 In 3.02-3.18, 4 Zr 3.12-3.13

**DOS(E_F)**: 1.8 states/eV/f.u.
**E**: -31.809 eV/atom
**Volume**: 19.1 Å³/atom
**SG**: Pm, No. 6


Entry 11:
A PBEsol-optimized structure of Ca2LaMn, computed with meta-GGA SCAN.

a = 3.6755 Å, b = 3.6755 Å, c = 9.2286 Å
α = 90.00°, β = 90.00°, γ = 90.00°
With the nearest neighbours (Å) after each atom.
Sites, in units of the cell vectors:
1 Ca 0.0000 0.0000 0.0000  4 Mn 3.20, 1 La 3.48
2 Ca 0.5000 0.5000 0.3118  8 Ca 3.68-3.88, 4 La 3.87
3 La 0.0000 0.0000 0.6229  4 Mn 3.06
4 Mn 0.5000 0.5000 0.7979  4 La 3.06, 4 Ca 3.20

**DOS(E_F)**: 2.5 states/eV/f.u.
**E**: -20.138 eV/atom
**Relative energy among the computed polymorphs**: 0.0 meV/atom
**Volume**: 31.2 Å³/atom
**SG**: P4mm, No. 99


Entry 12:
A PBEsol-optimized structure of AlCuNi, computed with meta-GGA SCAN.

a = 4.6174 Å, b = 4.6174 Å, c = 4.6174 Å
α = 143.27°, β = 143.27°, γ = 52.92°
With the nearest neighbours (Å) after each atom.
Sites, in units of the cell vectors:
1 Al 0.0000 0.0000 0.0000  4 Ni 2.43, 5 Cu 2.51-2.70
2 Cu 0.3266 0.3266 0.0000  5 Ni 2.49-2.73, 5 Al 2.51-2.70
3 Ni 0.6566 0.6566 0.0000  4 Al 2.43, 4 Cu 2.49

**DOS(E_F)**: 1.4 states/eV/f.u.
**E**: -13.459 eV/atom
**Relative energy among the computed polymorphs**: 15.2 meV/atom
**Volume**: 11.7 Å³/atom
**SG**: I4mm, No. 107